# Li2MnFeF6

Li2MnFeF6 after structural relaxation (PBE with a Hubbard U, Alexandria via LeMat-Bulk).

a = 5.2748 Å, b = 5.2488 Å, c = 5.7075 Å
α = 61.70°, β = 61.72°, γ = 60.18°
Closest atoms and distances in Å follow each position.
Element x y z (fractional)
F 0.1131 0.4015 0.7576  1 Li 1.97, 1 Mn 2.10, 1 Fe 2.16
F 0.7272 0.1177 0.7519  1 Li 1.96, 1 Mn 2.11, 1 Fe 2.15
F 0.2356 0.9111 0.2576  1 Li 1.98, 1 Fe 2.03, 1 Mn 2.20
F 0.6113 0.2266 0.2553  1 Li 1.96, 1 Fe 2.12, 1 Mn 2.18
F 0.3970 0.7210 0.7684  1 Li 1.99, 1 Fe 2.08, 1 Mn 2.12
F 0.9079 0.6153 0.2539  2 Li 1.98-2.18, 1 Fe 2.11, 1 Mn 2.17
Li 0.5278 0.5174 0.4269  3 F 1.96-1.98
Li 0.0113 0.0245 0.9336  4 F 1.96-2.18
Mn 0.8139 0.8123 0.5587  6 F 2.10-2.20
Fe 0.3166 0.3143 0.0512  6 F 2.03-2.16

For the theoretical density, the calculation gives 3.46 g/cm³. For the total moment, the calculation gives 9.000 μB/f.u. Its electronic total energy is -5.524 eV per atom. The value obtained for the density of states at the Fermi level is 0.0 states/eV/f.u. As for the crystal system: triclinic.